a) ## CsGaBr2 (GGA-PBE)

Data for a geometry-optimized CsGaBr2 structure.

theoretical density: 4.26 Mg/m³
DOS(E_F): 0.00 states/eV per cell

abc: 4.130 5.849 5.849
angles: 90.00 90.00 90.00
Fractional positions:
Br 0.000 0.000 0.500
Br 0.000 0.500 0.000
Cs 0.500 0.000 0.000
Ga 0.500 0.500 0.500

***

b) ## CsGaBr2 (GGA-PBE)

Data for a geometry-optimized CsGaBr2 structure.

theoretical density: 4.34 Mg/m³
DOS(E_F): 0.00 states/eV per cell

abc: 4.093 4.093 8.279
angles: 90.00 90.00 90.00
Fractional positions:
Ga 0.500 0.500 0.000
Br 0.000 0.000 0.776
Br 0.000 0.000 0.224
Cs 0.500 0.500 0.500

***

Most favorable structure: b). The second most favorable one is 2.5 kJ/mol of atoms above it.

***

a) ## CsGa2Br (GGA-PBE)

Data for a geometry-optimized CsGa2Br structure.

theoretical density: 4.34 Mg/m³
DOS(E_F): 3.45 states/eV per cell

abc: 5.756 5.756 5.756
angles: 60.00 60.00 60.00
Fractional positions:
Cs 0.500 0.500 0.500
Ga 0.250 0.250 0.250
Ga 0.750 0.750 0.750
Br 0.000 0.000 0.000

***

b) ## CsGa2Br (GGA-PBE)

Data for a geometry-optimized CsGa2Br structure.

theoretical density: 3.96 Mg/m³
DOS(E_F): 2.95 states/eV per cell

abc: 4.992 4.992 12.362
angles: 78.35 78.35 90.00
Fractional positions:
Ga 0.274 0.625 0.250
Ga 0.476 0.125 0.250
Ga 0.875 0.726 0.750
Ga 0.375 0.524 0.750
Br 0.500 0.500 0.000
Br 0.250 0.750 0.500
Cs 0.750 0.250 0.500
Cs 0.000 0.000 0.000

***

Most favorable structure: b). The second most favorable one is 44.9 kJ/mol of atoms above it.

***

a) ## Cs2YGaBr6 (GGA-PBE)

Data for a geometry-optimized Cs2YGaBr6 structure.

theoretical density: 3.77 Mg/m³
DOS(E_F): 0.00 states/eV per cell

abc: 8.179 8.314 11.703
angles: 90.00 89.93 90.00
Fractional positions:
Y 0.500 0.000 0.500
Y 0.000 0.500 0.000
Cs 0.511 0.545 0.750
Cs 0.489 0.455 0.250
Cs 0.989 0.045 0.750
Cs 0.011 0.955 0.250
Br 0.276 0.699 0.030
Br 0.698 0.275 0.528
Br 0.943 0.506 0.237
Br 0.057 0.494 0.763
Br 0.557 0.006 0.263
Br 0.724 0.301 0.970
Br 0.198 0.225 0.028
Br 0.776 0.801 0.530
Br 0.224 0.199 0.470
Br 0.302 0.725 0.472
Br 0.802 0.775 0.972
Br 0.443 0.994 0.737
Ga 0.500 0.000 0.000
Ga 0.000 0.500 0.500

***

b) ## Cs2YGaBr6 (GGA-PBE)

Data for a geometry-optimized Cs2YGaBr6 structure.

theoretical density: 3.74 Mg/m³
DOS(E_F): 0.00 states/eV per cell

abc: 8.279 8.279 8.280
angles: 60.00 60.00 90.00
Fractional positions:
Br 0.239 0.239 0.521
Br 0.760 0.760 0.000
Br 0.240 0.240 0.000
Br 0.761 0.761 0.479
Br 0.760 0.240 0.000
Br 0.240 0.760 0.000
Cs 0.750 0.250 0.500
Cs 0.250 0.750 0.500
Ga 0.500 0.500 0.000
Y 0.000 0.000 0.000

***

Most favorable structure: a). The second most favorable one is 0.7 kJ/mol of atoms above it.